i:
Density functional theory data (PBE) for ScBePt2 after structural relaxation.

The calculation puts the total moment at 0.00 μB per cell. The density of states at the Fermi level comes out at 0.71 states/eV per atom.

The space group is Immm (No. 71) and the conventional cell measures 2.9382, 4.2131 and 10.3266 Å, with angles of 90.00, 90.00 and 90.00 degrees. The asymmetric unit holds Sc at (0.0000, 0.0000, 0.0000), Be at (0.0000, 0.0000, 0.5000) and Pt at (0.0000, 0.0000, 0.3054).

=====

ii:
Density functional theory data (PBE) for ScBePt2 after structural relaxation.

The calculation puts the total moment at 0.00 μB per cell. The density of states at the Fermi level comes out at 0.51 states/eV per atom.

The space group is P4/mmm (No. 123) and the conventional cell measures 4.0621, 4.0621 and 3.6188 Å, with angles of 90.00, 90.00 and 90.00 degrees. The asymmetric unit holds Sc at (0.0000, 0.0000, 0.0000), Be at (0.5000, 0.5000, 0.0000) and Pt at (0.0000, 0.5000, 0.5000).

=====

Short version: ii, i, most stable first.

=====

i:
Density functional theory data (PBE) for ScBe2Pt after structural relaxation.

The calculation puts the total moment at 0.00 μB per cell. The density of states at the Fermi level comes out at 0.80 states/eV per atom.

The space group is I4_1/amd (No. 141, origin choice 2) and the conventional cell measures 4.0599, 4.0599 and 15.8113 Å, with angles of 90.00, 90.00 and 90.00 degrees. The asymmetric unit holds Sc at (0.0000, 0.2500, 0.3750), Be at (0.0000, 0.0000, 0.0000) and Pt at (0.0000, 0.2500, 0.8750).

=====

ii:
Density functional theory data (PBE) for ScBe2Pt after structural relaxation.

The calculation puts the total moment at 0.00 μB per cell. The density of states at the Fermi level comes out at 0.53 states/eV per atom.

The space group is Pmmm (No. 47) and the conventional cell measures 3.2893, 4.1721 and 4.4038 Å, with angles of 90.00, 90.00 and 90.00 degrees. The asymmetric unit holds Sc at (0.0000, 0.0000, 0.0000), Be at (0.5000, 0.5000, 0.2521) and Pt at (0.5000, 0.0000, 0.5000).

=====

Short version: ii, i, most stable first.

=====

i:
Density functional theory data (PBE) for ScBe2Pt after structural relaxation.

The calculation puts the total moment at 0.08 μB per cell. The density of states at the Fermi level comes out at 0.57 states/eV per atom.

The space group is P4/mmm (No. 123) and the conventional cell measures 2.9945, 2.9945 and 6.0735 Å, with angles of 90.00, 90.00 and 90.00 degrees. The asymmetric unit holds Sc at (0.0000, 0.0000, 0.0000), Be at (0.5000, 0.5000, 0.3057) and Pt at (0.0000, 0.0000, 0.5000).

=====

ii:
Density functional theory data (PBE) for ScBe2Pt after structural relaxation.

The calculation puts the total moment at 0.00 μB per cell. The density of states at the Fermi level comes out at 0.24 states/eV per atom.

The space group is R-3m (No. 166, hexagonal axes) and the conventional cell measures 3.8701, 3.8701 and 13.1776 Å, with angles of 90.00, 90.00 and 120.00 degrees. The asymmetric unit holds Sc at (0.0000, 0.0000, 0.0000), Be at (0.0000, 0.0000, 0.2020) and Pt at (0.0000, 0.0000, 0.5000).

=====

iii:
Density functional theory data (PBE) for ScBe2Pt after structural relaxation.

The calculation puts the total moment at 0.00 μB per cell. The density of states at the Fermi level comes out at 0.47 states/eV per atom.

The space group is Immm (No. 71) and the conventional cell measures 3.4090, 3.9292 and 10.1876 Å, with angles of 90.00, 90.00 and 90.00 degrees. The asymmetric unit holds Sc at (0.0000, 0.0000, 0.0000), Be at (0.0000, 0.0000, 0.2807) and Pt at (0.0000, 0.0000, 0.5000).

=====

iv:
Density functional theory data (PBE) for ScBe2Pt after structural relaxation.

The calculation puts the total moment at 0.00 μB per cell. The density of states at the Fermi level comes out at 0.60 states/eV per atom.

The space group is Cmmm (No. 65) and the conventional cell measures 5.2932, 5.3028 and 3.9431 Å, with angles of 90.00, 90.00 and 90.00 degrees. The asymmetric unit holds Sc at (0.0000, 0.0000, 0.0000), Be at (0.2500, 0.2500, 0.5000) and Pt at (0.0000, 0.5000, 0.0000).

=====

Short version: ii, i, iv, iii, most stable first.

=====

i:
Density functional theory data (PBE) for ScBe2Pt after structural relaxation.

The calculation puts the total moment at 0.00 μB per cell. The density of states at the Fermi level comes out at 0.59 states/eV per atom.

The space group is P4mm (No. 99) and the conventional cell measures 2.8949, 2.8949 and 6.3910 Å, with angles of 90.00, 90.00 and 90.00 degrees. The asymmetric unit holds Sc at (0.0000, 0.0000, 0.0000), Be at (0.0000, 0.0000, 0.4783), Be at (0.5000, 0.5000, 0.3037) and Pt at (0.5000, 0.5000, 0.6849).

=====

ii:
Density functional theory data (PBE) for ScBe2Pt after structural relaxation.

The calculation puts the total moment at 0.00 μB per cell. The density of states at the Fermi level comes out at 0.40 states/eV per atom.

The space group is Cm (No. 8) and the conventional cell measures 6.8157, 3.9275 and 5.0420 Å, with angles of 90.00, 116.37 and 90.00 degrees. The asymmetric unit holds Sc at (0.0000, 0.0000, 0.0000), Be at (0.0232, 0.5000, 0.5697), Be at (0.3071, 0.5000, 0.4202) and Pt at (0.1971, 0.0000, 0.5911).

=====

Short version: ii, i, most stable first.

=====

i:
Density functional theory data (PBE) for ScBe2Pt after structural relaxation.

The calculation puts the total moment at 0.00 μB per cell. The density of states at the Fermi level comes out at 0.55 states/eV per atom.

The space group is Amm2 (No. 38) and the conventional cell measures 3.5746, 3.1525 and 9.3927 Å, with angles of 90.00, 90.00 and 90.00 degrees. The asymmetric unit holds Sc at (0.0000, 0.0000, 0.0000), Be at (0.0000, 0.0000, 0.7291), Be at (0.5000, 0.0000, 0.6135) and Pt at (0.5000, 0.0000, 0.3066).

=====

ii:
Density functional theory data (PBE) for ScBe2Pt after structural relaxation.

The calculation puts the total moment at 0.00 μB per cell. The density of states at the Fermi level comes out at 0.42 states/eV per atom.

The space group is I-4m2 (No. 119) and the conventional cell measures 4.0098, 4.0098 and 6.8517 Å, with angles of 90.00, 90.00 and 90.00 degrees. The asymmetric unit holds Sc at (0.0000, 0.0000, 0.0000), Be at (0.0000, 0.0000, 0.5000), Be at (0.0000, 0.5000, 0.7500) and Pt at (0.0000, 0.5000, 0.2500).

=====

iii:
Density functional theory data (PBE) for ScBe2Pt after structural relaxation.

The calculation puts the total moment at 0.00 μB per cell. The density of states at the Fermi level comes out at 0.30 states/eV per atom.

The space group is Fm-3m (No. 225) and the conventional cell measures 5.8763, 5.8763 and 5.8763 Å, with angles of 90.00, 90.00 and 90.00 degrees. The asymmetric unit holds Sc at (0.0000, 0.0000, 0.0000), Be at (0.2500, 0.2500, 0.2500) and Pt at (0.0000, 0.0000, 0.5000).

=====

Short version: iii, i, ii, most stable first.

=====

i:
Density functional theory data (PBE) for ScBePt after structural relaxation.

The calculation puts the total moment at 0.00 μB per cell. The density of states at the Fermi level comes out at 0.60 states/eV per atom.

The space group is F-43m (No. 216) and the conventional cell measures 6.0239, 6.0239 and 6.0239 Å, with angles of 90.00, 90.00 and 90.00 degrees. The asymmetric unit holds Sc at (0.0000, 0.0000, 0.0000), Be at (0.0000, 0.0000, 0.5000) and Pt at (0.2500, 0.2500, 0.2500).

=====

ii:
Density functional theory data (PBE) for ScBePt after structural relaxation.

The calculation puts the total moment at 0.00 μB per cell. The density of states at the Fermi level comes out at 1.01 states/eV per atom.

The space group is F-43m (No. 216) and the conventional cell measures 6.0740, 6.0740 and 6.0740 Å, with angles of 90.00, 90.00 and 90.00 degrees. The asymmetric unit holds Sc at (0.0000, 0.0000, 0.0000), Be at (0.2500, 0.2500, 0.2500) and Pt at (0.2500, 0.2500, 0.7500).

=====

Short version: i, ii, most stable first.

=====

i:
Density functional theory data (PBE) for ScBePt after structural relaxation.

The calculation puts the total moment at 0.00 μB per cell. The density of states at the Fermi level comes out at 0.65 states/eV per atom.

The space group is Imma (No. 74) and the conventional cell measures 4.8809, 5.3764 and 6.8359 Å, with angles of 90.00, 90.00 and 90.00 degrees. The asymmetric unit holds Sc at (0.0000, 0.2500, 0.1194), Be at (0.2500, 0.2500, 0.7500) and Pt at (0.0000, 0.0000, 0.5000).

=====

ii:
Density functional theory data (PBE) for ScBePt after structural relaxation.

The calculation puts the total moment at 0.00 μB per cell. The density of states at the Fermi level comes out at 0.79 states/eV per atom.

The space group is P-6m2 (No. 187) and the conventional cell measures 3.9744, 3.9744 and 3.4955 Å, with angles of 90.00, 90.00 and 120.00 degrees. The asymmetric unit holds Sc at (0.0000, 0.0000, 0.0000), Be at (0.6667, 0.3333, 0.5000) and Pt at (0.3333, 0.6667, 0.5000).

=====

Short version: i, ii, most stable first.

=====

i:
Density functional theory data (PBE) for ScBe2Pt2 after structural relaxation.

The calculation puts the total moment at 0.00 μB per cell. The density of states at the Fermi level comes out at 0.61 states/eV per atom.

The space group is I4/mmm (No. 139) and the conventional cell measures 3.9356, 3.9356 and 9.1632 Å, with angles of 90.00, 90.00 and 90.00 degrees. The asymmetric unit holds Sc at (0.0000, 0.0000, 0.0000), Be at (0.0000, 0.0000, 0.3799) and Pt at (0.0000, 0.5000, 0.2500).

=====

ii:
Density functional theory data (PBE) for ScBe2Pt2 after structural relaxation.

The calculation puts the total moment at 0.00 μB per cell. The density of states at the Fermi level comes out at 0.66 states/eV per atom.

The space group is I4/mmm (No. 139) and the conventional cell measures 3.9329, 3.9329 and 18.5145 Å, with angles of 90.00, 90.00 and 90.00 degrees. The asymmetric unit holds Sc at (0.0000, 0.0000, 0.1225), Be at (0.0000, 0.0000, 0.4333), Be at (0.0000, 0.5000, 0.2500), Pt at (0.0000, 0.0000, 0.3132) and Pt at (0.0000, 0.5000, 0.0000).

=====

iii:
Density functional theory data (PBE) for ScBe2Pt2 after structural relaxation.

The calculation puts the total moment at 0.00 μB per cell. The density of states at the Fermi level comes out at 0.47 states/eV per atom.

The space group is P4/mbm (No. 127) and the conventional cell measures 7.0779, 7.0779 and 2.7483 Å, with angles of 90.00, 90.00 and 90.00 degrees. The asymmetric unit holds Sc at (0.0000, 0.0000, 0.0000), Be at (0.1461, 0.3539, 0.5000) and Pt at (0.1470, 0.6470, 0.0000).

=====

iv:
Density functional theory data (PBE) for ScBe2Pt2 after structural relaxation.

The calculation puts the total moment at 0.00 μB per cell. The density of states at the Fermi level comes out at 0.51 states/eV per atom.

The space group is P4/mbm (No. 127) and the conventional cell measures 6.9517, 6.9517 and 2.7658 Å, with angles of 90.00, 90.00 and 90.00 degrees. The asymmetric unit holds Sc at (0.0000, 0.0000, 0.0000), Be at (0.1156, 0.3844, 0.0000) and Pt at (0.1762, 0.6762, 0.5000).

=====

Short version: ii, iv, i, iii, most stable first.